Entry from Alexandria via LeMat-Bulk: crystalline Y2HgRh at its relaxed geometry (PBE).

The space group is R3m (No. 160, hexagonal axes) and the conventional cell measures 4.0247, 4.0247 and 22.5894 Å, with angles of 90.00, 90.00 and 120.00 degrees. The asymmetric unit holds Y at (0.0000, 0.0000, 0.0000), Y at (0.0000, 0.0000, 0.1985), Hg at (0.0000, 0.0000, 0.7653) and Rh at (0.0000, 0.0000, 0.6007).

The calculation puts the energy relative to the elements at -2.256 eV/f.u.

Entry from Alexandria via LeMat-Bulk: crystalline Be2SbBr at its relaxed geometry (PBE).

The space group is I-4m2 (No. 119) and the conventional cell measures 3.5254, 3.5254 and 14.3949 Å, with angles of 90.00, 90.00 and 90.00 degrees. The asymmetric unit holds Be at (0.0000, 0.0000, 0.0000), Be at (0.0000, 0.5000, 0.2500), Sb at (0.0000, 0.0000, 0.5000) and Br at (0.0000, 0.5000, 0.7500).

As for the uncorrected formation energy: 0.639 eV per atom.

Entry from Alexandria via LeMat-Bulk: crystalline Cs5La2Br12 at its relaxed geometry (PBE).

The space group is C2/m (No. 12) and the conventional cell measures 17.6662, 10.7027 and 9.0862 Å, with angles of 90.00, 102.55 and 90.00 degrees. The asymmetric unit holds Cs at (0.0000, 0.0000, 0.0000), Cs at (0.1378, 0.5000, 0.0238), Cs at (0.2495, 0.5000, 0.5013), La at (0.0000, 0.2488, 0.5000), Br at (0.0344, 0.5000, 0.3325), Br at (0.0779, 0.0000, 0.6572), Br at (0.1039, 0.2028, 0.2809) and Br at (0.1499, 0.3020, 0.7203).

As for the uncorrected formation energy: -1.740 eV per atom.

Entry from Alexandria via LeMat-Bulk: crystalline KSe3 at its relaxed geometry (PBE).

The space group is R-3m (No. 166, hexagonal axes) and the conventional cell measures 10.4258, 10.4258 and 2.9872 Å, with angles of 90.00, 90.00 and 120.00 degrees. The asymmetric unit holds K at (0.0000, 0.0000, 0.0000) and Se at (0.0000, 0.5000, 0.0000).

As for the uncorrected formation energy: -0.004 eV per atom.

Entry from Alexandria via LeMat-Bulk: crystalline AsHF3 at its relaxed geometry (PBE).

The space group is Pm-3m (No. 221) and the conventional cell measures 4.1321, 4.1321 and 4.1321 Å, with angles of 90.00, 90.00 and 90.00 degrees. The asymmetric unit holds As at (0.0000, 0.0000, 0.0000), H at (0.5000, 0.5000, 0.5000) and F at (0.0000, 0.0000, 0.5000).

As for the total energy: -3.84 eV/atom.

Entry from Alexandria via LeMat-Bulk: crystalline LiTbThCo at its relaxed geometry (PBE).

The space group is F-43m (No. 216) and the conventional cell measures 7.0019, 7.0019 and 7.0019 Å, with angles of 90.00, 90.00 and 90.00 degrees. The asymmetric unit holds Li at (0.0000, 0.0000, 0.0000), Tb at (0.2500, 0.2500, 0.7500), Th at (0.2500, 0.2500, 0.2500) and Co at (0.0000, 0.0000, 0.5000).

The calculation puts the energy relative to the elements at 0.088 eV/f.u.

Entry from Alexandria via LeMat-Bulk: crystalline Mg2AlBC at its relaxed geometry (PBE).

The space group is P4/mmm (No. 123) and the conventional cell measures 5.1690, 5.1690 and 3.8589 Å, with angles of 90.00, 90.00 and 90.00 degrees. The asymmetric unit holds Mg at (0.0000, 0.5000, 0.0000), Al at (0.0000, 0.0000, 0.0000), B at (0.0000, 0.0000, 0.5000) and C at (0.5000, 0.5000, 0.5000).

The calculation puts the energy relative to the elements at 9.213 eV/f.u.

Entry from Alexandria via LeMat-Bulk: crystalline NbV2HAu at its relaxed geometry (PBE).

The space group is P4/mmm (No. 123) and the conventional cell measures 4.9414, 4.9414 and 5.1254 Å, with angles of 90.00, 90.00 and 90.00 degrees. The asymmetric unit holds Nb at (0.0000, 0.0000, 0.0000), V at (0.0000, 0.5000, 0.5000), H at (0.5000, 0.5000, 0.0000) and Au at (0.0000, 0.0000, 0.5000).

As for the total energy: -5.01 eV/atom.

Entry from Alexandria via LeMat-Bulk: crystalline MgAsO2F at its relaxed geometry (PBE).

The space group is P4/mmm (No. 123) and the conventional cell measures 3.9713, 3.9713 and 3.6126 Å, with angles of 90.00, 90.00 and 90.00 degrees. The asymmetric unit holds Mg at (0.0000, 0.0000, 0.0000), As at (0.5000, 0.5000, 0.5000), O at (0.0000, 0.5000, 0.0000) and F at (0.0000, 0.0000, 0.5000).

As for the uncorrected formation energy: -1.260 eV per atom.

Entry from Alexandria via LeMat-Bulk: crystalline FeAs2Br at its relaxed geometry (PBE).

The space group is C2/m (No. 12) and the conventional cell measures 6.3431, 3.6599 and 7.7052 Å, with angles of 90.00, 106.11 and 90.00 degrees. The asymmetric unit holds Fe at (0.0000, 0.0000, 0.0000), As at (0.1162, 0.5000, 0.8508) and Br at (0.0000, 0.5000, 0.5000).

As for the uncorrected formation energy: -0.010 eV per atom.

Entry from Alexandria via LeMat-Bulk: crystalline La3ZrGe6 at its relaxed geometry (PBE).

The space group is R-3c (No. 167, hexagonal axes) and the conventional cell measures 11.8113, 11.8113 and 11.7323 Å, with angles of 90.00, 90.00 and 120.00 degrees. The asymmetric unit holds La at (0.0000, 0.4322, 0.2500), Zr at (0.0000, 0.0000, 0.0000) and Ge at (0.0675, 0.2104, 0.3416).

The calculation puts the energy relative to the elements at -6.805 eV/f.u.

Entry from Alexandria via LeMat-Bulk: crystalline RbLiZnHSe at its relaxed geometry (PBE).

The space group is Cm (No. 8) and the conventional cell measures 11.4106, 4.3184 and 4.8401 Å, with angles of 90.00, 105.08 and 90.00 degrees. The asymmetric unit holds Rb at (0.0000, 0.0000, 0.0000), Li at (0.1652, 0.5000, 0.6390), Zn at (0.3198, 0.0000, 0.4632), H at (0.4763, 0.0000, 0.5563) and Se at (0.2416, 0.5000, 0.1902).

As for the total energy: -2.65 eV/atom.

What D(E_F) values result from the calculations? In sequence: 0.548 0.502 0.973 0.596 0.000 1.001 0.460 1.680 0.037 0.986 0.675 0.357 states/eV/atom.